Record 1
VASP calculation (PBE-GGA) on a relaxed structure of Er4InCu.

Cell: 5.307 6.955 8.588 Å, 90.00 99.22 90.00°
Fractional positions:
1 Er 0.149 0.250 0.050
2 Er 0.215 0.750 0.372
3 Er 0.318 0.514 0.746
4 Er 0.318 0.986 0.746
5 Er 0.682 0.014 0.254
6 Er 0.682 0.486 0.254
7 Er 0.785 0.250 0.628
8 Er 0.851 0.750 0.950
9 In 0.230 0.250 0.419
10 In 0.770 0.750 0.581
11 Cu 0.361 0.750 0.052
12 Cu 0.639 0.250 0.948

Calculated values
Total DFT energy (no corrections)   -4.409 eV per atom
Space group   No. 11
Energy above the most stable polymorph in this dataset   0.000 eV/atom



Record 2
VASP calculation (PBE-GGA) on a relaxed structure of LaSn2Hg2.

Cell: 5.271 5.271 12.866 Å, 90.00 90.00 120.00°
Fractional positions:
1 La 0.000 0.000 0.250
2 La 0.000 0.000 0.750
3 Sn 0.000 0.000 0.000
4 Sn 0.000 0.000 0.500
5 Sn 0.333 0.667 0.250
6 Sn 0.667 0.333 0.750
7 Hg 0.333 0.667 0.607
8 Hg 0.333 0.667 0.893
9 Hg 0.667 0.333 0.107
10 Hg 0.667 0.333 0.393

Calculated values
Total DFT energy (no corrections)   -2.778 eV per atom
Space group   No. 194
Energy above the most stable polymorph in this dataset   0.315 eV/atom